*A*
# TiP4O12

An optimized crystal structure of TiP4O12 (GGA-PBE, Alexandria).

```
data_TiP4O12
_space_group_name_H-M_alt 'P 1'
_space_group_IT_number 1
_cell_length_a 13.1150
_cell_length_b 8.2573
_cell_length_c 9.2736
_cell_angle_alpha 90.00
_cell_angle_beta 90.00
_cell_angle_gamma 90.00
loop_
_space_group_symop_operation_xyz
'x,y,z'
loop_
_atom_site_label
_atom_site_type_symbol
_atom_site_fract_x
_atom_site_fract_y
_atom_site_fract_z
_atom_site_occupancy
Ti1 Ti 0.0000 0.1554 0.2500 1
Ti2 Ti 0.0000 0.8446 0.7500 1
Ti3 Ti 0.5000 0.3446 0.7500 1
Ti4 Ti 0.5000 0.6554 0.2500 1
P1 P 0.1463 0.0417 0.5207 1
P2 P 0.1463 0.9583 0.0207 1
P3 P 0.1506 0.3174 0.0074 1
P4 P 0.1506 0.6826 0.5074 1
P5 P 0.3494 0.1826 0.5074 1
P6 P 0.3494 0.8174 0.0074 1
P7 P 0.3537 0.4583 0.0207 1
P8 P 0.3537 0.5417 0.5207 1
P9 P 0.6463 0.4583 0.4793 1
P10 P 0.6463 0.5417 0.9793 1
P11 P 0.6506 0.1826 0.9926 1
P12 P 0.6506 0.8174 0.4926 1
P13 P 0.8494 0.3174 0.4926 1
P14 P 0.8494 0.6826 0.9926 1
P15 P 0.8537 0.0417 0.9793 1
P16 P 0.8537 0.9583 0.4793 1
O1 O 0.0689 0.0253 0.6405 1
O2 O 0.0689 0.9747 0.1405 1
O3 O 0.0755 0.3012 0.1347 1
O4 O 0.0755 0.6988 0.6347 1
O5 O 0.1125 0.1407 0.3918 1
O6 O 0.1125 0.8593 0.8918 1
O7 O 0.1250 0.4141 0.8806 1
O8 O 0.1250 0.5859 0.3806 1
O9 O 0.1817 0.1318 0.9655 1
O10 O 0.1817 0.8682 0.4655 1
O11 O 0.2450 0.1236 0.5879 1
O12 O 0.2450 0.8764 0.0879 1
O13 O 0.2550 0.3764 0.0879 1
O14 O 0.2550 0.6236 0.5879 1
O15 O 0.3183 0.3682 0.4655 1
O16 O 0.3183 0.6318 0.9655 1
O17 O 0.3750 0.0859 0.3806 1
O18 O 0.3750 0.9141 0.8806 1
O19 O 0.3875 0.3593 0.8918 1
O20 O 0.3875 0.6407 0.3918 1
O21 O 0.4245 0.1988 0.6347 1
O22 O 0.4245 0.8012 0.1347 1
O23 O 0.4311 0.4747 0.1405 1
O24 O 0.4311 0.5253 0.6405 1
O25 O 0.5689 0.4747 0.3595 1
O26 O 0.5689 0.5253 0.8595 1
O27 O 0.5755 0.1988 0.8653 1
O28 O 0.5755 0.8012 0.3653 1
O29 O 0.6125 0.3593 0.6082 1
O30 O 0.6125 0.6407 0.1082 1
O31 O 0.6250 0.0859 0.1194 1
O32 O 0.6250 0.9141 0.6194 1
O33 O 0.6817 0.3682 0.0345 1
O34 O 0.6817 0.6318 0.5345 1
O35 O 0.7450 0.3764 0.4121 1
O36 O 0.7450 0.6236 0.9121 1
O37 O 0.7550 0.1236 0.9121 1
O38 O 0.7550 0.8764 0.4121 1
O39 O 0.8183 0.1318 0.5345 1
O40 O 0.8183 0.8682 0.0345 1
O41 O 0.8750 0.4141 0.6194 1
O42 O 0.8750 0.5859 0.1194 1
O43 O 0.8875 0.1407 0.1082 1
O44 O 0.8875 0.8593 0.6082 1
O45 O 0.9245 0.3012 0.3653 1
O46 O 0.9245 0.6988 0.8653 1
O47 O 0.9311 0.0253 0.8595 1
O48 O 0.9311 0.9747 0.3595 1
```

Results
* calculated density: 2.4 g cm⁻³
* DOS at the Fermi energy: 0.00 states/eV/f.u.
* magnetization: 0.01 μB per atom
* space group: No. 60
* calculated volume: 1004 Å³ per cell

***

*B*
# TiP4O12

An optimized crystal structure of TiP4O12 (GGA-PBE, Alexandria).

```
data_TiP4O12
_space_group_name_H-M_alt 'P 1'
_space_group_IT_number 1
_cell_length_a 7.0784
_cell_length_b 7.0784
_cell_length_c 9.4974
_cell_angle_alpha 92.43
_cell_angle_beta 92.43
_cell_angle_gamma 109.09
loop_
_space_group_symop_operation_xyz
'x,y,z'
loop_
_atom_site_label
_atom_site_type_symbol
_atom_site_fract_x
_atom_site_fract_y
_atom_site_fract_z
_atom_site_occupancy
Ti1 Ti 0.1150 0.8850 0.7500 1
Ti2 Ti 0.8850 0.1150 0.2500 1
P1 P 0.2154 0.2724 0.5303 1
P2 P 0.2724 0.2154 0.0303 1
P3 P 0.2859 0.6337 0.9680 1
P4 P 0.3663 0.7141 0.5320 1
P5 P 0.6337 0.2859 0.4680 1
P6 P 0.7141 0.3663 0.0320 1
P7 P 0.7276 0.7846 0.9697 1
P8 P 0.7846 0.7276 0.4697 1
O1 O 0.0618 0.2625 0.4114 1
O2 O 0.1355 0.1429 0.1484 1
O3 O 0.1429 0.1355 0.6484 1
O4 O 0.1440 0.6650 0.8512 1
O5 O 0.2241 0.3921 0.9559 1
O6 O 0.2625 0.0618 0.9114 1
O7 O 0.2743 0.7050 0.3903 1
O8 O 0.2950 0.7257 0.1097 1
O9 O 0.3060 0.4931 0.6008 1
O10 O 0.3350 0.8560 0.6488 1
O11 O 0.3921 0.2241 0.4559 1
O12 O 0.4931 0.3060 0.1008 1
O13 O 0.5069 0.6940 0.8992 1
O14 O 0.6079 0.7759 0.5441 1
O15 O 0.6650 0.1440 0.3512 1
O16 O 0.6940 0.5069 0.3992 1
O17 O 0.7050 0.2743 0.8903 1
O18 O 0.7257 0.2950 0.6097 1
O19 O 0.7375 0.9382 0.0886 1
O20 O 0.7759 0.6079 0.0441 1
O21 O 0.8560 0.3350 0.1488 1
O22 O 0.8571 0.8645 0.3516 1
O23 O 0.8645 0.8571 0.8516 1
O24 O 0.9382 0.7375 0.5886 1
```

Results
* calculated density: 2.7 g cm⁻³
* DOS at the Fermi energy: 0.00 states/eV/f.u.
* magnetization: 0.01 μB per atom
* space group: No. 15
* calculated volume: 448 Å³ per cell

***

Relative to the most stable structure, the computed energies are *A* 0; *B* 30, all in meV per atom.

***

*A*
# TiP3O9

An optimized crystal structure of TiP3O9 (GGA-PBE, Alexandria).

```
data_TiP3O9
_space_group_name_H-M_alt 'P 1'
_space_group_IT_number 1
_cell_length_a 7.5510
_cell_length_b 7.5510
_cell_length_c 9.7231
_cell_angle_alpha 122.69
_cell_angle_beta 122.69
_cell_angle_gamma 51.91
loop_
_space_group_symop_operation_xyz
'x,y,z'
loop_
_atom_site_label
_atom_site_type_symbol
_atom_site_fract_x
_atom_site_fract_y
_atom_site_fract_z
_atom_site_occupancy
Ti1 Ti 0.2411 0.7589 0.5000 1
Ti2 Ti 0.7589 0.2411 0.0000 1
P1 P 0.1971 0.3144 0.7628 1
P2 P 0.3144 0.1971 0.2628 1
P3 P 0.5503 0.7332 0.3273 1
P4 P 0.7332 0.5503 0.8273 1
P5 P 0.7567 0.9612 0.1732 1
P6 P 0.9612 0.7567 0.6732 1
O1 O 0.0079 0.4490 0.8578 1
O2 O 0.0945 0.8321 0.6617 1
O3 O 0.1035 0.1747 0.1121 1
O4 O 0.1398 0.4963 0.6913 1
O5 O 0.1747 0.1035 0.6121 1
O6 O 0.2725 0.4318 0.4012 1
O7 O 0.3772 0.7080 0.3395 1
O8 O 0.4318 0.2725 0.9012 1
O9 O 0.4490 0.0079 0.3578 1
O10 O 0.4963 0.1398 0.1913 1
O11 O 0.5809 0.6262 0.6688 1
O12 O 0.6262 0.5809 0.1688 1
O13 O 0.6921 0.7786 0.9911 1
O14 O 0.7080 0.3772 0.8395 1
O15 O 0.7786 0.6921 0.4911 1
O16 O 0.8321 0.0945 0.1617 1
O17 O 0.8485 0.9142 0.8131 1
O18 O 0.9142 0.8485 0.3131 1
```

Results
* calculated density: 2.7 g cm⁻³
* DOS at the Fermi energy: 5.62 states/eV/f.u.
* magnetization: 0.08 μB per atom
* space group: No. 9
* calculated volume: 349 Å³ per cell

***

*B*
# TiP3O9

An optimized crystal structure of TiP3O9 (GGA-PBE, Alexandria).

```
data_TiP3O9
_space_group_name_H-M_alt 'P 1'
_space_group_IT_number 1
_cell_length_a 11.9261
_cell_length_b 11.9261
_cell_length_c 9.7257
_cell_angle_alpha 110.01
_cell_angle_beta 110.01
_cell_angle_gamma 110.79
loop_
_space_group_symop_operation_xyz
'x,y,z'
loop_
_atom_site_label
_atom_site_type_symbol
_atom_site_fract_x
_atom_site_fract_y
_atom_site_fract_z
_atom_site_occupancy
Ti1 Ti 0.0799 0.9201 0.5000 1
Ti2 Ti 0.2635 0.7722 0.0339 1
Ti3 Ti 0.4102 0.5857 0.4989 1
Ti4 Ti 0.5857 0.4102 0.9989 1
Ti5 Ti 0.7722 0.2635 0.5339 1
Ti6 Ti 0.9201 0.0799 0.0000 1
P1 P 0.0042 0.7318 0.6865 1
P2 P 0.0584 0.4342 0.2457 1
P3 P 0.0661 0.6703 0.1948 1
P4 P 0.1066 0.1706 0.8241 1
P5 P 0.1294 0.4169 0.7900 1
P6 P 0.1706 0.1066 0.3241 1
P7 P 0.3223 0.3800 0.6599 1
P8 P 0.3800 0.3223 0.1599 1
P9 P 0.4169 0.1294 0.2900 1
P10 P 0.4342 0.0584 0.7457 1
P11 P 0.4511 0.8476 0.8497 1
P12 P 0.5212 0.7924 0.3515 1
P13 P 0.6703 0.0661 0.6948 1
P14 P 0.7168 0.7601 0.2305 1
P15 P 0.7318 0.0042 0.1865 1
P16 P 0.7601 0.7168 0.7305 1
P17 P 0.7924 0.5212 0.8515 1
P18 P 0.8476 0.4511 0.3497 1
O1 O 0.0198 0.2923 0.1168 1
O2 O 0.0325 0.5131 0.1438 1
O3 O 0.0634 0.7355 0.3552 1
O4 O 0.0683 0.8564 0.6703 1
O5 O 0.0836 0.7419 0.8520 1
O6 O 0.0944 0.9765 0.3250 1
O7 O 0.1025 0.1042 0.6590 1
O8 O 0.1042 0.1025 0.1590 1
O9 O 0.1522 0.3322 0.8835 1
O10 O 0.1834 0.5614 0.9293 1
O11 O 0.1952 0.7539 0.1966 1
O12 O 0.1957 0.2386 0.4786 1
O13 O 0.2032 0.5296 0.4062 1
O14 O 0.2334 0.4350 0.7198 1
O15 O 0.2386 0.1957 0.9786 1
O16 O 0.2923 0.0198 0.6168 1
O17 O 0.3322 0.1522 0.3835 1
O18 O 0.3325 0.9802 0.1399 1
O19 O 0.3420 0.7643 0.8771 1
O20 O 0.3493 0.4024 0.2822 1
O21 O 0.4024 0.3493 0.7822 1
O22 O 0.4022 0.9424 0.7963 1
O23 O 0.4050 0.4843 0.6256 1
O24 O 0.4238 0.6851 0.3695 1
O25 O 0.4350 0.2334 0.2198 1
O26 O 0.4544 0.8238 0.2205 1
O27 O 0.4789 0.7676 0.7229 1
O28 O 0.4843 0.4050 0.1256 1
O29 O 0.5131 0.0325 0.6438 1
O30 O 0.5296 0.2032 0.9062 1
O31 O 0.5614 0.1834 0.4293 1
O32 O 0.5943 0.9706 0.0314 1
O33 O 0.6156 0.6519 0.5824 1
O34 O 0.6236 0.7458 0.3163 1
O35 O 0.6375 0.9329 0.5358 1
O36 O 0.6519 0.6156 0.0824 1
O37 O 0.6851 0.4238 0.8695 1
O38 O 0.6901 0.8470 0.1433 1
O39 O 0.7355 0.0634 0.8552 1
O40 O 0.7419 0.0836 0.3520 1
O41 O 0.7458 0.6236 0.8163 1
O42 O 0.7539 0.1952 0.6966 1
O43 O 0.7643 0.3420 0.3771 1
O44 O 0.7676 0.4789 0.2229 1
O45 O 0.8238 0.4544 0.7205 1
O46 O 0.8379 0.8690 0.8703 1
O47 O 0.8470 0.6901 0.6433 1
O48 O 0.8564 0.0683 0.1703 1
O49 O 0.8690 0.8379 0.3703 1
O50 O 0.9329 0.6375 0.0358 1
O51 O 0.9424 0.4022 0.2963 1
O52 O 0.9706 0.5943 0.5314 1
O53 O 0.9765 0.0944 0.8250 1
O54 O 0.9802 0.3325 0.6399 1
```

Results
* calculated density: 2.7 g cm⁻³
* DOS at the Fermi energy: 4.38 states/eV/f.u.
* magnetization: 0.08 μB per atom
* space group: No. 9
* calculated volume: 1032 Å³ per cell

***

Relative to the most stable structure, the computed energies are *A* 5; *B* 0, all in meV per atom.

***

*A*
# Ti3PO

An optimized crystal structure of Ti3PO (GGA-PBE, Alexandria).

```
data_Ti3PO
_space_group_name_H-M_alt 'P 1'
_space_group_IT_number 1
_cell_length_a 4.0455
_cell_length_b 4.0455
_cell_length_c 4.0455
_cell_angle_alpha 90.00
_cell_angle_beta 90.00
_cell_angle_gamma 90.00
loop_
_space_group_symop_operation_xyz
'x,y,z'
loop_
_atom_site_label
_atom_site_type_symbol
_atom_site_fract_x
_atom_site_fract_y
_atom_site_fract_z
_atom_site_occupancy
Ti1 Ti 0.0000 0.0000 0.5000 1
Ti2 Ti 0.0000 0.5000 0.0000 1
Ti3 Ti 0.5000 0.0000 0.0000 1
P1 P 0.5000 0.5000 0.5000 1
O1 O 0.0000 0.0000 0.0000 1
```

Results
* calculated density: 4.8 g cm⁻³
* DOS at the Fermi energy: 6.34 states/eV/f.u.
* magnetization: 0.31 μB per atom
* space group: No. 221
* calculated volume: 66 Å³ per cell

***

*B*
# Ti3PO

An optimized crystal structure of Ti3PO (GGA-PBE, Alexandria).

```
data_Ti3PO
_space_group_name_H-M_alt 'P 1'
_space_group_IT_number 1
_cell_length_a 5.7387
_cell_length_b 9.3649
_cell_length_c 5.3536
_cell_angle_alpha 90.00
_cell_angle_beta 90.00
_cell_angle_gamma 90.00
loop_
_space_group_symop_operation_xyz
'x,y,z'
loop_
_atom_site_label
_atom_site_type_symbol
_atom_site_fract_x
_atom_site_fract_y
_atom_site_fract_z
_atom_site_occupancy
Ti1 Ti 0.0846 0.2500 0.1843 1
Ti2 Ti 0.1841 0.1181 0.6765 1
Ti3 Ti 0.1841 0.3819 0.6765 1
Ti4 Ti 0.3159 0.6181 0.1765 1
Ti5 Ti 0.3159 0.8819 0.1765 1
Ti6 Ti 0.4154 0.7500 0.6843 1
Ti7 Ti 0.5846 0.2500 0.3157 1
Ti8 Ti 0.6841 0.1181 0.8235 1
Ti9 Ti 0.6841 0.3819 0.8235 1
Ti10 Ti 0.8159 0.6181 0.3235 1
Ti11 Ti 0.8159 0.8819 0.3235 1
Ti12 Ti 0.9154 0.7500 0.8157 1
P1 P 0.0000 0.0000 0.0000 1
P2 P 0.0000 0.5000 0.0000 1
P3 P 0.5000 0.0000 0.5000 1
P4 P 0.5000 0.5000 0.5000 1
O1 O 0.1059 0.7500 0.4458 1
O2 O 0.3941 0.2500 0.9458 1
O3 O 0.6059 0.7500 0.0542 1
O4 O 0.8941 0.2500 0.5542 1
```

Results
* calculated density: 4.4 g cm⁻³
* DOS at the Fermi energy: 3.69 states/eV/f.u.
* magnetization: 0.00 μB per atom
* space group: No. 62
* calculated volume: 288 Å³ per cell

***

Relative to the most stable structure, the computed energies are *A* 0; *B* 73, all in meV per atom.

***

*A*
# TiTlPO2

An optimized crystal structure of TiTlPO2 (GGA-PBE, Alexandria).

```
data_TiTlPO2
_space_group_name_H-M_alt 'P 1'
_space_group_IT_number 1
_cell_length_a 4.0501
_cell_length_b 4.0501
_cell_length_c 5.5083
_cell_angle_alpha 90.00
_cell_angle_beta 90.00
_cell_angle_gamma 90.00
loop_
_space_group_symop_operation_xyz
'x,y,z'
loop_
_atom_site_label
_atom_site_type_symbol
_atom_site_fract_x
_atom_site_fract_y
_atom_site_fract_z
_atom_site_occupancy
Ti1 Ti 0.0000 0.0000 0.0000 1
Tl1 Tl 0.5000 0.5000 0.5000 1
P1 P 0.5000 0.5000 0.0000 1
O1 O 0.0000 0.5000 0.5000 1
O2 O 0.5000 0.0000 0.5000 1
```

Results
* calculated density: 5.8 g cm⁻³
* DOS at the Fermi energy: 4.32 states/eV/f.u.
* magnetization: 0.12 μB per atom
* space group: No. 123
* calculated volume: 90 Å³ per cell

***

*B*
# TiTlPO2

An optimized crystal structure of TiTlPO2 (GGA-PBE, Alexandria).

```
data_TiTlPO2
_space_group_name_H-M_alt 'P 1'
_space_group_IT_number 1
_cell_length_a 3.8457
_cell_length_b 3.8457
_cell_length_c 5.3606
_cell_angle_alpha 90.00
_cell_angle_beta 90.00
_cell_angle_gamma 90.00
loop_
_space_group_symop_operation_xyz
'x,y,z'
loop_
_atom_site_label
_atom_site_type_symbol
_atom_site_fract_x
_atom_site_fract_y
_atom_site_fract_z
_atom_site_occupancy
Ti1 Ti 0.0000 0.0000 0.0000 1
Tl1 Tl 0.5000 0.5000 0.5000 1
P1 P 0.0000 0.0000 0.5000 1
O1 O 0.0000 0.5000 0.0000 1
O2 O 0.5000 0.0000 0.0000 1
```

Results
* calculated density: 6.6 g cm⁻³
* DOS at the Fermi energy: 2.40 states/eV/f.u.
* magnetization: 0.00 μB per atom
* space group: No. 123
* calculated volume: 79 Å³ per cell

***

Relative to the most stable structure, the computed energies are *A* 1657; *B* 0, all in meV per atom.